# LaHoGaAu (GGA-PBE, relaxed)
data_LaHoGaAu
_cell_length_a 7.402
_cell_length_b 7.402
_cell_length_c 7.402
_cell_angle_alpha 90.00
_cell_angle_beta 90.00
_cell_angle_gamma 90.00
_symmetry_space_group_name_H-M 'F -4 3 m'
_symmetry_Int_Tables_number 216
_symmetry_space_group_name_Hall 'F -4 2 3'
loop_
_atom_site_label
_atom_site_type_symbol
_atom_site_fract_x
_atom_site_fract_y
_atom_site_fract_z
La1 La 0.000 0.000 0.000
Ho1 Ho 0.000 0.000 0.500
Ga1 Ga 0.250 0.250 0.750
Au1 Au 0.250 0.250 0.250
# Crystal system: cubic
# Energy of formation from the pure elements: -0.65 eV per atom